Entry 1:
## Ba2CdHgPt (PBE-GGA)

Data for a relaxed Ba2CdHgPt crystal.

Cell: 4.789 8.792 8.529 Å, 113.74 90.00 90.00°
Positions (direct):
Pt 0.750 0.103 0.081
Pt 0.250 0.897 0.919
Cd 0.750 0.436 0.331
Cd 0.250 0.564 0.669
Hg 0.250 0.667 0.337
Hg 0.750 0.333 0.663
Ba 0.250 0.281 0.962
Ba 0.750 0.719 0.038
Ba 0.750 0.875 0.652
Ba 0.250 0.125 0.348

Computed properties:
N(E_F)	2.040	states/eV/f.u.
calculated formation energy	-0.5603	eV per atom

Entry 2:
## BaCdHg2Pt (PBE-GGA)

Data for a relaxed BaCdHg2Pt crystal.

Cell: 5.347 5.347 5.256 Å, 90.00 90.00 90.00°
Positions (direct):
Hg 0.500 0.000 0.000
Hg 0.000 0.500 0.000
Ba 0.500 0.500 0.500
Pt 0.000 0.000 0.000
Cd 0.000 0.000 0.500

Computed properties:
N(E_F)	3.042	states/eV/f.u.
calculated formation energy	-0.3629	eV per atom